# MnBeAg2

Crystalline MnBeAg2 at its relaxed geometry (PBE-GGA, Alexandria).

a = 2.8140 Å, b = 2.8140 Å, c = 7.1985 Å
α = 90.00°, β = 90.00°, γ = 90.00°
Sites, in units of the cell vectors:
1 Mn 0.0000 0.0000 0.0000
2 Be 0.5000 0.5000 0.8178
3 Ag 0.0000 0.0000 0.5927
4 Ag 0.5000 0.5000 0.2827

Calculated values
The formation energy is 158 meV/atom. The value obtained for the magnetization is 3.1 μB per formula unit.